Crystalline Mn2P3O10 at its relaxed geometry, computed with PBE with a Hubbard U.

Geometry as POSCAR:
```
Mn2P3O10
1.0
7.322 -4.437 0.000
7.322 4.437 0.000
-2.638 0.000 7.305
Mn P O
4 6 20
Cartesian
2.065 0.063 3.499
0.745 -0.063 7.151
11.259 0.063 0.154
9.940 -0.063 3.806
4.184 2.153 2.232
6.662 3.516 1.826
9.140 2.153 1.421
2.864 -2.153 5.885
5.343 -3.516 5.479
7.821 -2.153 5.073
-1.164 0.139 6.477
0.155 -0.139 2.825
1.240 0.895 5.290
4.282 1.388 0.939
3.572 1.444 3.421
5.707 2.527 2.660
7.618 2.527 0.993
2.559 -0.895 1.637
2.963 -1.388 4.591
2.253 -1.444 7.074
9.752 1.444 0.232
9.042 1.388 2.714
9.446 0.895 5.668
4.387 -2.527 6.312
6.298 -2.527 4.645
8.433 -1.444 3.884
7.723 -1.388 6.367
10.765 -0.895 2.015
11.849 0.139 4.481
13.169 -0.139 0.828
```

* crystal system: monoclinic
* relative energy among the computed polymorphs: 2.3 meV/atom
* E: -7.423 eV/atom